[1]
Here is Pm2Dy5Sc after structural relaxation from Alexandria via LeMat-Bulk. Energies are from GGA-PBE.

Calculated values
DOS at the Fermi energy   23.80 states/eV per cell
Theoretical density   7547 kg/m3
ΔE to the lowest computed polymorph   0.0955 eV/atom

a b c (Å): 9.3552 9.3552 6.6242
angles (deg): 100.23 100.23 62.93
Atoms (fractional coordinates):
Pm: 0.1552 0.6686 0.8607
Pm: 0.3314 0.8448 0.6393
Pm: 0.6686 0.1552 0.3607
Pm: 0.8448 0.3314 0.1393
Dy: 0.0039 0.1970 0.6515
Dy: 0.1970 0.0039 0.1515
Dy: 0.2146 0.3753 0.4506
Dy: 0.3753 0.2146 0.9506
Dy: 0.4394 0.5606 0.2500
Dy: 0.5606 0.4394 0.7500
Dy: 0.6247 0.7854 0.0494
Dy: 0.7854 0.6247 0.5494
Dy: 0.8030 0.9961 0.8485
Dy: 0.9961 0.8030 0.3485
Sc: 0.0000 0.5000 0.0000
Sc: 0.5000 0.0000 0.5000

***

[2]
Here is Pm3DySc7 after structural relaxation from Alexandria via LeMat-Bulk. Energies are from GGA-PBE.

Calculated values
DFT total energy   -5.4412 eV/atom
DOS at the Fermi energy   15.19 states/eV per cell
Theoretical density   4853 kg/m3

a b c (Å): 8.0183 8.0183 5.4999
angles (deg): 110.00 110.00 81.91
Atoms (fractional coordinates):
Pm: 0.0000 0.0000 0.0000
Pm: 0.2155 0.7845 0.5000
Pm: 0.7845 0.2155 0.5000
Dy: 0.5000 0.5000 0.0000
Sc: 0.0286 0.4087 0.2187
Sc: 0.2077 0.2077 0.7073
Sc: 0.4087 0.0286 0.2187
Sc: 0.5000 0.5000 0.5000
Sc: 0.5913 0.9714 0.7813
Sc: 0.7923 0.7923 0.2927
Sc: 0.9714 0.5913 0.7813

***

[3]
Here is Pm3Dy8Sc3 after structural relaxation from Alexandria via LeMat-Bulk. Energies are from GGA-PBE.

Calculated values
DFT total energy   -4.6271 eV/atom
DOS at the Fermi energy   17.86 states/eV per cell
Theoretical density   6975 kg/m3

a b c (Å): 10.2105 10.2105 10.2105
angles (deg): 149.33 124.03 65.18
Atoms (fractional coordinates):
Pm: 0.0000 0.0000 0.0000
Pm: 0.2582 0.5000 0.7582
Pm: 0.7418 0.5000 0.2418
Dy: 0.1131 0.8753 0.2378
Dy: 0.1436 0.2997 0.8439
Dy: 0.3624 0.1247 0.2378
Dy: 0.4557 0.2997 0.1561
Dy: 0.5443 0.7003 0.8439
Dy: 0.6376 0.8753 0.7622
Dy: 0.8564 0.7003 0.1561
Dy: 0.8869 0.1247 0.7622
Sc: 0.1711 0.6711 0.5000
Sc: 0.5000 0.0000 0.5000
Sc: 0.8289 0.3289 0.5000

***

[4]
Here is PmDy2Sc3 after structural relaxation from Alexandria via LeMat-Bulk. Energies are from GGA-PBE.

Calculated values
DFT total energy   -5.4201 eV/atom
DOS at the Fermi energy   19.29 states/eV per cell
Theoretical density   5905 kg/m3

a b c (Å): 5.9721 3.4509 16.6262
angles (deg): 90.00 96.89 90.00
Atoms (fractional coordinates):
Pm: 0.0281 0.2500 0.3324
Pm: 0.9719 0.7500 0.6676
Dy: 0.2502 0.2500 0.0000
Dy: 0.4732 0.2500 0.6673
Dy: 0.5268 0.7500 0.3327
Dy: 0.7498 0.7500 0.0000
Sc: 0.1389 0.7500 0.1650
Sc: 0.2522 0.7500 0.5007
Sc: 0.3623 0.7500 0.8343
Sc: 0.6377 0.2500 0.1657
Sc: 0.7478 0.2500 0.4993
Sc: 0.8611 0.2500 0.8350

***

[5]
Here is Pm3Dy5Sc after structural relaxation from Alexandria via LeMat-Bulk. Energies are from GGA-PBE.

Calculated values
DFT total energy   -4.5669 eV/atom
DOS at the Fermi energy   22.89 states/eV per cell
Theoretical density   7460 kg/m3

a b c (Å): 9.8429 9.8429 9.8429
angles (deg): 127.99 127.99 76.65
Atoms (fractional coordinates):
Pm: 0.1188 0.6188 0.7375
Pm: 0.2500 0.2500 0.0000
Pm: 0.3812 0.1188 0.5000
Pm: 0.6188 0.8812 0.5000
Pm: 0.7500 0.7500 0.0000
Pm: 0.8812 0.3812 0.2625
Dy: 0.0000 0.0000 0.0000
Dy: 0.0661 0.1532 0.5000
Dy: 0.1532 0.6532 0.0870
Dy: 0.3468 0.4339 0.5000
Dy: 0.4339 0.9339 0.0870
Dy: 0.5000 0.5000 0.0000
Dy: 0.5661 0.0661 0.9130
Dy: 0.6532 0.5661 0.5000
Dy: 0.8468 0.3468 0.9130
Dy: 0.9339 0.8468 0.5000
Sc: 0.2500 0.7500 0.5000
Sc: 0.7500 0.2500 0.5000

***

[6]
Here is Pm12Dy6Sc after structural relaxation from Alexandria via LeMat-Bulk. Energies are from GGA-PBE.

Calculated values
DFT total energy   -4.6482 eV/atom
DOS at the Fermi energy   33.03 states/eV per cell
Theoretical density   7172 kg/m3

a b c (Å): 8.6143 8.6143 8.6143
angles (deg): 89.16 89.16 89.16
Atoms (fractional coordinates):
Pm: 0.0183 0.1894 0.3600
Pm: 0.1894 0.3600 0.0183
Pm: 0.2182 0.4640 0.5643
Pm: 0.3600 0.0183 0.1894
Pm: 0.4357 0.7818 0.5360
Pm: 0.4640 0.5643 0.2182
Pm: 0.5360 0.4357 0.7818
Pm: 0.5643 0.2182 0.4640
Pm: 0.6400 0.9817 0.8106
Pm: 0.7818 0.5360 0.4357
Pm: 0.8106 0.6400 0.9817
Pm: 0.9817 0.8106 0.6400
Dy: 0.0975 0.7070 0.2596
Dy: 0.2596 0.0975 0.7070
Dy: 0.2930 0.7404 0.9025
Dy: 0.7070 0.2596 0.0975
Dy: 0.7404 0.9025 0.2930
Dy: 0.9025 0.2930 0.7404
Sc: 0.0000 0.0000 0.0000

***

[7]
Here is Pm6DySc8 after structural relaxation from Alexandria via LeMat-Bulk. Energies are from GGA-PBE.

Calculated values
DFT total energy   -5.3977 eV/atom
DOS at the Fermi energy   24.67 states/eV per cell
Theoretical density   5303 kg/m3

a b c (Å): 7.9274 7.9274 7.9274
angles (deg): 71.68 71.68 71.68
Atoms (fractional coordinates):
Pm: 0.1688 0.4280 0.6209
Pm: 0.3791 0.8312 0.5720
Pm: 0.4280 0.6209 0.1688
Pm: 0.5720 0.3791 0.8312
Pm: 0.6209 0.1688 0.4280
Pm: 0.8312 0.5720 0.3791
Dy: 0.0000 0.0000 0.0000
Sc: 0.0482 0.8724 0.3794
Sc: 0.1276 0.6206 0.9518
Sc: 0.2266 0.2266 0.2266
Sc: 0.3794 0.0482 0.8724
Sc: 0.6206 0.9518 0.1276
Sc: 0.7734 0.7734 0.7734
Sc: 0.8724 0.3794 0.0482
Sc: 0.9518 0.1276 0.6206

***

[8]
Here is Pm5Dy4Sc2 after structural relaxation from Alexandria via LeMat-Bulk. Energies are from GGA-PBE.

Calculated values
DOS at the Fermi energy   18.36 states/eV per cell
Theoretical density   6686 kg/m3
ΔE to the lowest computed polymorph   0.1539 eV/atom

a b c (Å): 12.4264 12.4264 12.4264
angles (deg): 163.94 136.65 46.51
Atoms (fractional coordinates):
Pm: 0.0000 0.0000 0.0000
Pm: 0.0526 0.3472 0.7055
Pm: 0.3583 0.6528 0.7055
Pm: 0.6417 0.3472 0.2945
Pm: 0.9474 0.6528 0.2945
Dy: 0.3097 0.5000 0.8097
Dy: 0.4009 0.9009 0.5000
Dy: 0.5991 0.0991 0.5000
Dy: 0.6903 0.5000 0.1903
Sc: 0.2699 0.7699 0.5000
Sc: 0.7301 0.2301 0.5000

***

[9]
Here is Pm4Dy2Sc3 after structural relaxation from Alexandria via LeMat-Bulk. Energies are from GGA-PBE.

Calculated values
DFT total energy   -5.1963 eV/atom
DOS at the Fermi energy   13.03 states/eV per cell
Theoretical density   6352 kg/m3

a b c (Å): 6.0244 6.0244 10.4487
angles (deg): 106.30 106.30 48.90
Atoms (fractional coordinates):
Pm: 0.0051 0.0051 0.3361
Pm: 0.3340 0.3340 0.1129
Pm: 0.6660 0.6660 0.8871
Pm: 0.9949 0.9949 0.6639
Dy: 0.3302 0.3302 0.7721
Dy: 0.6698 0.6698 0.2279
Sc: 0.0000 0.0000 0.0000
Sc: 0.3359 0.3359 0.4483
Sc: 0.6641 0.6641 0.5517

***

[10]
Here is Pm5Dy4Sc after structural relaxation from Alexandria via LeMat-Bulk. Energies are from GGA-PBE.

Calculated values
DOS at the Fermi energy   18.55 states/eV per cell
Theoretical density   7292 kg/m3
ΔE to the lowest computed polymorph   0.0609 eV/atom

a b c (Å): 4.1390 4.1390 18.8758
angles (deg): 90.00 90.00 90.00
Atoms (fractional coordinates):
Pm: 0.0000 0.0000 0.0000
Pm: 0.0000 0.0000 0.2003
Pm: 0.0000 0.0000 0.4066
Pm: 0.0000 0.0000 0.5934
Pm: 0.0000 0.0000 0.7997
Dy: 0.5000 0.5000 0.1003
Dy: 0.5000 0.5000 0.3022
Dy: 0.5000 0.5000 0.6978
Dy: 0.5000 0.5000 0.8997
Sc: 0.5000 0.5000 0.5000